[1]
Computed, not measured: an optimized crystal structure of MgVGaRh2 at the GGA-PBE level of DFT.

Computed properties:
D(E_F)	4.59	states/eV/cell
formation energy	1037	meV per atom

Cell: 4.496 4.496 4.613 Å, 90.00 90.00 90.00°
Space group P4/mmm (No. 123)
Inequivalent atoms, fractional coordinates:
Mg 0.000 0.000 0.000 x1
V 0.000 0.000 0.500 x1
Ga 0.500 0.500 0.500 x1
Rh 0.000 0.500 0.000 x2

[2]
Computed, not measured: an optimized crystal structure of Y2MgGa3Rh4 at the GGA-PBE level of DFT.

Computed properties:
D(E_F)	5.56	states/eV/cell
formation energy	-756	meV per atom

Cell: 4.184 4.184 10.524 Å, 90.00 90.00 90.00°
Space group P-4m2 (No. 115)
Inequivalent atoms, fractional coordinates:
Y 0.000 0.500 0.234 x2
Mg 0.000 0.000 0.500 x1
Ga 0.000 0.500 0.875 x2
Ga 0.500 0.500 0.500 x1
Rh 0.000 0.000 0.000 x1
Rh 0.000 0.500 0.643 x2
Rh 0.500 0.500 0.000 x1

[3]
Computed, not measured: an optimized crystal structure of Y2MgGa2Rh5 at the GGA-PBE level of DFT.

Computed properties:
D(E_F)	9.43	states/eV/cell
formation energy	-742	meV per atom

Cell: 9.893 9.893 3.528 Å, 90.00 90.00 90.00°
Space group P4/mbm (No. 127)
Inequivalent atoms, fractional coordinates:
Y 0.174 0.326 0.000 x4
Mg 0.000 0.000 0.000 x2
Ga 0.125 0.625 0.000 x4
Rh 0.000 0.500 0.500 x2
Rh 0.068 0.794 0.500 x8